Below is a relaxed NbCrOF2 crystal, with properties calculated at the PBE with a Hubbard U level.

Cell lengths 4.348, 4.348, 3.989 Å; angles 90.00, 90.00, 90.00 degrees
Space group P4/mmm (No. 123)
Inequivalent atoms, fractional coordinates:
Nb  0.000  0.000  0.000
Cr  0.500  0.500  0.500
O  0.000  0.000  0.500
F  0.000  0.500  0.000

Calculated values
- offset from the most stable computed form (eV/atom) = 0.000
- raw total energy (eV per atom) = -6.920
- magnetic moment (μB/f.u.) = 6.94
- D(E_F) (states/eV per cell) = 1.26